[1]
Material: ZrSc3S6
Method: DFT, GGA-PBE
State: relaxed

Output
Energy relative to the elements, uncorrected ... -1.716 eV per atom
Total magnetic moment ... 0.001 Bohr magnetons per cell
ρ ... 3182 kg/m3
Space-group type ... No. 148

Geometry as extended XYZ:
```
20
Lattice="5.398 3.117 4.326 -5.398 3.117 4.326 0.000 -6.233 4.326" Properties=species:S:1:pos:R:3 pbc="T T T"
Zr 0.000 0.000 0.000
Zr 0.000 0.000 6.490
Sc -2.663 0.562 3.897
Sc 0.844 -2.587 3.897
Sc -1.818 -2.025 9.082
Sc 1.818 2.025 3.897
Sc -0.844 2.587 9.082
Sc 2.663 -0.562 9.082
S -3.236 -3.261 7.251
S -4.442 1.172 5.728
S -1.241 -1.548 4.887
S 1.206 -4.433 5.728
S -0.720 1.849 4.887
S -1.961 0.301 8.092
S 1.961 -0.301 4.887
S 0.720 -1.849 8.092
S -1.206 4.433 7.251
S 1.241 1.548 8.092
S 4.442 -1.172 7.251
S 3.236 3.261 5.728
```

---

[2]
Material: ZrSc2S
Method: DFT, GGA-PBE
State: relaxed

Output
Energy relative to the elements, uncorrected ... -0.878 eV per atom
Total magnetic moment ... 0.000 Bohr magnetons per cell
ρ ... 4167 kg/m3
Space-group type ... No. 160

Geometry as extended XYZ:
```
4
Lattice="1.712 0.989 8.365 -1.712 0.989 8.365 0.000 -1.977 8.365" Properties=species:S:1:pos:R:3 pbc="T T T"
Zr 0.000 0.000 0.000
Sc 0.000 0.000 14.197
Sc 0.000 0.000 19.291
S 0.000 0.000 4.195
```

---

[3]
Material: ZrScS3
Method: DFT, GGA-PBE
State: relaxed

Output
Energy relative to the elements, uncorrected ... -0.893 eV per atom
Total magnetic moment ... 0.847 Bohr magnetons per cell
ρ ... 3226 kg/m3
Space-group type ... No. 221

Geometry as extended XYZ:
```
5
Lattice="4.927 0.000 0.000 0.000 4.927 0.000 0.000 0.000 4.927" Properties=species:S:1:pos:R:3 pbc="T T T"
Zr 0.000 0.000 0.000
Sc 2.464 2.464 2.464
S 0.000 0.000 2.464
S 0.000 2.464 0.000
S 2.464 0.000 0.000
```

---

[4]
Material: ZrSc3S
Method: DFT, GGA-PBE
State: relaxed

Output
Energy relative to the elements, uncorrected ... -0.518 eV per atom
Total magnetic moment ... 0.000 Bohr magnetons per cell
Energy above the most stable polymorph in this dataset ... 0.00 eV per formula unit
ρ ... 3714 kg/m3
Space-group type ... No. 221

Geometry as extended XYZ:
```
5
Lattice="4.869 0.000 0.000 0.000 4.869 0.000 0.000 0.000 4.869" Properties=species:S:1:pos:R:3 pbc="T T T"
Zr 0.000 0.000 0.000
Sc 0.000 2.434 2.434
Sc 2.434 0.000 2.434
Sc 2.434 2.434 0.000
S 2.434 2.434 2.434
```